Record 1
# YPa3Ir4 | Alexandria | PBE-GGA | optimized geometry
# Magnetization   0.00 μB per formula unit
# ΔH_f (0 K)   -0.9231 eV per atom
# Raw total energy   -155.6 eV per cell
data_YPa3Ir4
_cell_length_a 11.639
_cell_length_b 8.310
_cell_length_c 3.767
_cell_angle_alpha 90.00
_cell_angle_beta 108.02
_cell_angle_gamma 90.00
_space_group_name_H-M_alt 'C 1 m 1'
_space_group_IT_number 8
loop_
_space_group_symop_operation_xyz
'x,y,z'
'x,-y,z'
'x+1/2,y+1/2,z'
'x+1/2,-y+1/2,z'
loop_
_atom_site_label
_atom_site_type_symbol
_atom_site_fract_x
_atom_site_fract_y
_atom_site_fract_z
Y1 Y 0.000 0.000 0.000
Pa1 Pa 0.001 0.500 0.003
Pa2 Pa 0.225 0.248 0.720
Ir1 Ir 0.261 0.500 0.257
Ir2 Ir 0.263 0.000 0.254
Ir3 Ir 0.461 0.234 0.464

***

Record 2
# Tm4CdIr3 | Alexandria | PBE-GGA | optimized geometry
# Magnetization   0.00 μB per formula unit
# ΔH_f (0 K)   -0.7797 eV per atom
# Raw total energy   -154.9 eV per cell
data_Tm4CdIr3
_cell_length_a 4.8703
_cell_length_b 4.8703
_cell_length_c 23.9630
_cell_angle_alpha 90.00
_cell_angle_beta 90.00
_cell_angle_gamma 120.00
_space_group_name_H-M_alt 'R -3 m'
_space_group_IT_number 166
_space_group_name_Hall '-R 3 2"'
loop_
_atom_site_label
_atom_site_type_symbol
_atom_site_fract_x
_atom_site_fract_y
_atom_site_fract_z
Tm1 Tm 0.0000 0.0000 0.1195
Tm2 Tm 0.0000 0.0000 0.3706
Cd1 Cd 0.0000 0.0000 0.5000
Ir1 Ir 0.0000 0.0000 0.0000
Ir2 Ir 0.0000 0.0000 0.2482